Computed, not measured: crystalline NaSm2CdHg4 at its relaxed geometry at the PBE level of DFT.

a = 5.179 Å, b = 5.179 Å, c = 9.000 Å
α = 73.28°, β = 73.28°, γ = 60.00°
Fractional coordinates of all 8 atoms:
1 Na 0.500 0.500 0.500
2 Sm 0.747 0.747 0.759
3 Sm 0.253 0.253 0.241
4 Cd 0.000 0.000 0.000
5 Hg 0.378 0.378 0.866
6 Hg 0.872 0.872 0.383
7 Hg 0.128 0.128 0.617
8 Hg 0.622 0.622 0.134

Results
Magnetic moment: 0.00 μB/f.u.
Energy: -15.98 eV/f.u.

***

Computed, not measured: crystalline NaSmCd2Hg4 at its relaxed geometry at the PBE level of DFT.

a = 5.083 Å, b = 5.083 Å, c = 9.043 Å
α = 73.68°, β = 73.68°, γ = 60.00°
Fractional coordinates of all 8 atoms:
1 Na 0.000 0.000 0.000
2 Sm 0.500 0.500 0.500
3 Cd 0.749 0.749 0.752
4 Cd 0.251 0.251 0.248
5 Hg 0.373 0.373 0.881
6 Hg 0.879 0.879 0.363
7 Hg 0.121 0.121 0.637
8 Hg 0.627 0.627 0.119

Results
Magnetic moment: 0.00 μB/f.u.
Energy: -11.18 eV/f.u.

***

Number 1: ΔE_f -0.388 eV/atom. Number 2: ΔE_f -0.264 eV/atom.